[1]
DFT (PBE-GGA) results for a relaxed structure of PmMgAg.

As for the density: 6.27 g cm⁻³. As for the size of the total moment: 0.0 μB/cell. The calculated formation energy comes out at -0.17 eV/atom. As for the total energy: -3.2317 eV per atom.

It has space group I4mm (No. 107), with a = 3.527 Å, b = 3.527 Å, c = 11.811 Å, α = 90.00°, β = 90.00° and γ = 90.00°. Symmetry generates all atoms from Pm at (0.000, 0.000, 0.000), Mg at (0.000, 0.000, 0.297) and Ag at (0.000, 0.000, 0.676).

[2]
DFT (PBE-GGA) results for a relaxed structure of Pm5MgAg6.

As for the density: 7.78 g cm⁻³. As for the size of the total moment: 0.0 μB/cell. The calculated formation energy comes out at -0.25 eV/atom. As for the total energy: -3.7892 eV per atom.

It has space group Immm (No. 71), with a = 5.168 Å, b = 7.422 Å, c = 15.540 Å, α = 90.00°, β = 90.00° and γ = 90.00°. Symmetry generates all atoms from Pm at (0.000, 0.000, 0.000), Pm at (0.000, 0.000, 0.333), Pm at (0.000, 0.500, 0.333), Mg at (0.000, 0.500, 0.000), Ag at (0.000, 0.240, 0.500) and Ag at (0.000, 0.260, 0.160).

[3]
DFT (PBE-GGA) results for a relaxed structure of Pm2Mg3Ag2.

As for the density: 5.45 g cm⁻³. As for the size of the total moment: 0.0 μB/cell. The calculated formation energy comes out at -0.19 eV/atom. As for the total energy: -3.0408 eV per atom.

It has space group C2/m (No. 12), with a = 10.713 Å, b = 4.410 Å, c = 7.504 Å, α = 90.00°, β = 95.93° and γ = 90.00°. Symmetry generates all atoms from Pm at (0.125, 0.000, 0.346), Mg at (0.000, 0.500, 0.000), Mg at (0.185, 0.000, 0.868) and Ag at (0.089, 0.500, 0.656).

[4]
DFT (PBE-GGA) results for a relaxed structure of PmMg6Ag2.

As for the density: 4.05 g cm⁻³. As for the size of the total moment: 0.0 μB/cell. The calculated formation energy comes out at -0.12 eV/atom. As for the total energy: -2.3489 eV per atom.

It has space group P4/mmm (No. 123), with a = 4.342 Å, b = 4.342 Å, c = 11.003 Å, α = 90.00°, β = 90.00° and γ = 90.00°. Symmetry generates all atoms from Pm at (0.000, 0.000, 0.000), Mg at (0.000, 0.000, 0.500), Mg at (0.000, 0.500, 0.284), Mg at (0.500, 0.500, 0.500) and Ag at (0.500, 0.500, 0.124).

[5]
DFT (PBE-GGA) results for a relaxed structure of Pm8MgAg2.

As for the density: 6.96 g cm⁻³. As for the size of the total moment: 0.0 μB/cell. The calculated formation energy comes out at -0.08 eV/atom. As for the total energy: -4.1999 eV per atom.

It has space group C2/m (No. 12), with a = 16.401 Å, b = 5.484 Å, c = 8.622 Å, α = 90.00°, β = 120.59° and γ = 90.00°. Symmetry generates all atoms from Pm at (0.067, 0.000, 0.227), Pm at (0.099, 0.500, 0.962), Pm at (0.144, 0.000, 0.703), Pm at (0.184, 0.500, 0.457), Mg at (0.000, 0.500, 0.500) and Ag at (0.228, 0.000, 0.127).

[6]
DFT (PBE-GGA) results for a relaxed structure of Pm3MgAg2.

As for the density: 6.97 g cm⁻³. As for the size of the total moment: 0.0 μB/cell. The calculated formation energy comes out at -0.21 eV/atom. As for the total energy: -3.8052 eV per atom.

It has space group P4/mmm (No. 123), with a = 3.777 Å, b = 3.777 Å, c = 11.267 Å, α = 90.00°, β = 90.00° and γ = 90.00°. Symmetry generates all atoms from Pm at (0.000, 0.000, 0.000), Pm at (0.000, 0.000, 0.327), Mg at (0.500, 0.500, 0.500) and Ag at (0.500, 0.500, 0.167).

[7]
DFT (PBE-GGA) results for a relaxed structure of PmPrMgAg.

As for the density: 6.20 g cm⁻³. As for the size of the total moment: 0.0 μB/cell. The calculated formation energy comes out at -0.13 eV/atom. As for the total energy: -3.6279 eV per atom.

It has space group F-43m (No. 216), with a = 7.652 Å, b = 7.652 Å, c = 7.652 Å, α = 90.00°, β = 90.00° and γ = 90.00°. Symmetry generates all atoms from Pm at (0.000, 0.000, 0.000), Pr at (0.000, 0.000, 0.500), Mg at (0.250, 0.250, 0.750) and Ag at (0.250, 0.250, 0.250).

[8]
DFT (PBE-GGA) results for a relaxed structure of PmPrMgAg.

As for the density: 6.25 g cm⁻³. As for the size of the total moment: 0.0 μB/cell. The calculated formation energy comes out at -0.18 eV/atom. As for the total energy: -3.6768 eV per atom.

It has space group P4mm (No. 99), with a = 3.855 Å, b = 3.855 Å, c = 7.470 Å, α = 90.00°, β = 90.00° and γ = 90.00°. Symmetry generates all atoms from Pm at (0.000, 0.000, 0.000), Pr at (0.000, 0.000, 0.515), Mg at (0.500, 0.500, 0.253) and Ag at (0.500, 0.500, 0.766).

[9]
DFT (PBE-GGA) results for a relaxed structure of PmMgAgPt.

As for the density: 9.26 g cm⁻³. As for the size of the total moment: 0.0 μB/cell. The calculated formation energy comes out at -0.62 eV/atom. As for the total energy: -4.4282 eV per atom.

It has space group F-43m (No. 216), with a = 6.971 Å, b = 6.971 Å, c = 6.971 Å, α = 90.00°, β = 90.00° and γ = 90.00°. Symmetry generates all atoms from Pm at (0.000, 0.000, 0.000), Mg at (0.000, 0.000, 0.500), Ag at (0.250, 0.250, 0.250) and Pt at (0.250, 0.250, 0.750).

[10]
DFT (PBE-GGA) results for a relaxed structure of PmMgAgRh.

As for the density: 7.63 g cm⁻³. As for the size of the total moment: 0.0 μB/cell. The calculated formation energy comes out at -0.38 eV/atom. As for the total energy: -4.5214 eV per atom.

It has space group F-43m (No. 216), with a = 6.915 Å, b = 6.915 Å, c = 6.915 Å, α = 90.00°, β = 90.00° and γ = 90.00°. Symmetry generates all atoms from Pm at (0.000, 0.000, 0.000), Mg at (0.000, 0.000, 0.500), Ag at (0.250, 0.250, 0.750) and Rh at (0.250, 0.250, 0.250).

[11]
DFT (PBE-GGA) results for a relaxed structure of PmMgAgRu.

As for the density: 7.73 g cm⁻³. As for the size of the total moment: 0.0 μB/cell. The calculated formation energy comes out at -0.08 eV/atom. As for the total energy: -4.6985 eV per atom.

It has space group F-43m (No. 216), with a = 6.877 Å, b = 6.877 Å, c = 6.877 Å, α = 90.00°, β = 90.00° and γ = 90.00°. Symmetry generates all atoms from Pm at (0.000, 0.000, 0.000), Mg at (0.000, 0.000, 0.500), Ag at (0.250, 0.250, 0.250) and Ru at (0.250, 0.250, 0.750).

[12]
DFT (PBE-GGA) results for a relaxed structure of PmMgScAg.

As for the density: 5.50 g cm⁻³. As for the size of the total moment: 0.0 μB/cell. The calculated formation energy comes out at -0.15 eV/atom. As for the total energy: -4.0319 eV per atom.

It has space group P4mm (No. 99), with a = 3.665 Å, b = 3.665 Å, c = 7.240 Å, α = 90.00°, β = 90.00° and γ = 90.00°. Symmetry generates all atoms from Pm at (0.000, 0.000, 0.000), Mg at (0.500, 0.500, 0.714), Sc at (0.000, 0.000, 0.482) and Ag at (0.500, 0.500, 0.276).